DFT (PBE) results for a geometry-optimized TlReOs2 structure.

Summary:
Calculated formation energy (meV per atom): 1113
Density of states at the Fermi level (states/eV per cell): 18.25
Spin magnetization (Bohr magnetons per cell): 5.7

a b c (Å): 6.401 6.401 6.401
angles (deg): 90.00 90.00 90.00
Atoms (fractional coordinates):
Tl (0.000, 0.000, 0.000)
Tl (0.000, 0.500, 0.500)
Tl (0.500, 0.000, 0.500)
Tl (0.500, 0.500, 0.000)
Re (0.250, 0.250, 0.250)
Re (0.250, 0.750, 0.750)
Re (0.750, 0.250, 0.750)
Re (0.750, 0.750, 0.250)
Os (0.000, 0.000, 0.500)
Os (0.000, 0.500, 0.000)
Os (0.250, 0.250, 0.750)
Os (0.250, 0.750, 0.250)
Os (0.500, 0.000, 0.000)
Os (0.500, 0.500, 0.500)
Os (0.750, 0.250, 0.250)
Os (0.750, 0.750, 0.750)